DFT (PBEsol) results for a relaxed structure of InH3S.

```
InH3S
1.0
-1.075 2.312 -2.700
-2.356 -2.576 -1.267
-2.662 1.346 2.213
H In S
3 1 1
direct
0.500 0.000 0.000
0.000 0.500 0.000
0.000 0.000 0.500
0.500 0.500 0.500
0.000 0.000 0.000
```

Results
DFT total energy: -14.701 eV per cell